(1)
A geometry-optimized La4Mg2Pb structure, computed with PBE.

Results
Its density of states at the Fermi level is 27.94 states/eV/cell. The total energy is -3.896 eV/atom. The value obtained for the formation energy is -0.67 eV per formula unit.

```
data_La4Mg2Pb
_cell_length_a 5.5308
_cell_length_b 5.5308
_cell_length_c 26.5640
_cell_angle_alpha 90.00
_cell_angle_beta 90.00
_cell_angle_gamma 120.00
_space_group_name_H-M_alt 'R -3 m'
_space_group_IT_number 166
_space_group_name_Hall '-R 3 2"'
loop_
_atom_site_label
_atom_site_fract_x
_atom_site_fract_y
_atom_site_fract_z
La1 0.0000 0.0000 0.1161
La2 0.0000 0.0000 0.3683
Mg1 0.0000 0.0000 0.2451
Pb1 0.0000 0.0000 0.5000
```


(2)
A geometry-optimized La2Mg2Pb structure, computed with PBE.

Results
The calculation puts the excess energy over the best structure of this formula in the dataset at 0 meV per atom. Its density of states at the Fermi level is 9.20 states/eV/cell. The total energy is -3.581 eV/atom. The value obtained for the formation energy is -1.15 eV per formula unit.

```
data_La2Mg2Pb
_cell_length_a 7.671
_cell_length_b 7.671
_cell_length_c 5.158
_cell_angle_alpha 90.00
_cell_angle_beta 90.00
_cell_angle_gamma 90.00
_space_group_name_H-M_alt 'P 4/m b m'
_space_group_IT_number 127
_space_group_name_Hall '-P 4 2ab'
loop_
_atom_site_label
_atom_site_fract_x
_atom_site_fract_y
_atom_site_fract_z
La1 0.168 0.332 0.000
Mg1 0.132 0.632 0.500
Pb1 0.000 0.000 0.500
```


(3)
A geometry-optimized LaMgPb2 structure, computed with PBE.

Results
Its density of states at the Fermi level is 10.93 states/eV/cell. The total energy is -3.570 eV/atom. The value obtained for the formation energy is -0.34 eV per formula unit.

```
data_LaMgPb2
_cell_length_a 5.057
_cell_length_b 5.057
_cell_length_c 20.849
_cell_angle_alpha 90.00
_cell_angle_beta 90.00
_cell_angle_gamma 90.00
_space_group_name_H-M_alt 'I -4 2 d'
_space_group_IT_number 122
_space_group_name_Hall 'I -4 2bw'
loop_
_atom_site_label
_atom_site_fract_x
_atom_site_fract_y
_atom_site_fract_z
La1 0.000 0.000 0.000
Mg1 0.000 0.000 0.500
Pb1 0.198 0.250 0.625
```


(4)
A geometry-optimized La5Mg2Pb structure, computed with PBE.

Results
Its density of states at the Fermi level is 23.30 states/eV/cell. The total energy is -4.122 eV/atom. The value obtained for the formation energy is -1.44 eV per formula unit.

```
data_La5Mg2Pb
_cell_length_a 8.224
_cell_length_b 8.224
_cell_length_c 7.687
_cell_angle_alpha 90.00
_cell_angle_beta 90.00
_cell_angle_gamma 90.00
_space_group_name_H-M_alt 'I 4 m m'
_space_group_IT_number 107
_space_group_name_Hall 'I 4 -2'
loop_
_atom_site_label
_atom_site_fract_x
_atom_site_fract_y
_atom_site_fract_z
La1 0.000 0.000 0.000
La2 0.250 0.250 0.249
Mg1 0.000 0.500 0.499
Pb1 0.000 0.000 0.499
```


(5)
A geometry-optimized LaMg3Pb structure, computed with PBE.

Results
The calculation puts the excess energy over the best structure of this formula in the dataset at 738 meV per atom. Its density of states at the Fermi level is 6.66 states/eV/cell. The total energy is -1.667 eV/atom. The value obtained for the formation energy is 5.08 eV per formula unit.

```
data_LaMg3Pb
_cell_length_a 5.891
_cell_length_b 5.891
_cell_length_c 5.891
_cell_angle_alpha 90.00
_cell_angle_beta 90.00
_cell_angle_gamma 90.00
_space_group_name_H-M_alt 'P m -3 m'
_space_group_IT_number 221
_space_group_name_Hall '-P 4 2 3'
loop_
_atom_site_label
_atom_site_fract_x
_atom_site_fract_y
_atom_site_fract_z
La1 0.000 0.000 0.000
Mg1 0.000 0.000 0.500
Pb1 0.500 0.500 0.500
```


(6)
A geometry-optimized La4Mg4Pb7 structure, computed with PBE.

Results
Its density of states at the Fermi level is 27.79 states/eV/cell. The total energy is -3.869 eV/atom. The value obtained for the formation energy is -5.99 eV per formula unit.

```
data_La4Mg4Pb7
_cell_length_a 16.327
_cell_length_b 16.327
_cell_length_c 6.565
_cell_angle_alpha 90.00
_cell_angle_beta 90.00
_cell_angle_gamma 90.00
_space_group_name_H-M_alt 'I 4/m m m'
_space_group_IT_number 139
_space_group_name_Hall '-I 4 2'
loop_
_atom_site_label
_atom_site_fract_x
_atom_site_fract_y
_atom_site_fract_z
La1 0.000 0.195 0.000
La2 0.138 0.138 0.500
Mg1 0.154 0.346 0.250
Pb1 0.000 0.000 0.250
Pb2 0.000 0.282 0.500
Pb3 0.000 0.408 0.000
Pb4 0.200 0.200 0.000
```


(7)
A geometry-optimized La2Mg2Pb3 structure, computed with PBE.

Results
Its density of states at the Fermi level is 18.23 states/eV/cell. The total energy is -3.859 eV/atom. The value obtained for the formation energy is -2.84 eV per formula unit.

```
data_La2Mg2Pb3
_cell_length_a 17.002
_cell_length_b 4.833
_cell_length_c 13.248
_cell_angle_alpha 90.00
_cell_angle_beta 126.60
_cell_angle_gamma 90.00
_space_group_name_H-M_alt 'C 1 2/m 1'
_space_group_IT_number 12
_space_group_name_Hall '-C 2y'
loop_
_atom_site_label
_atom_site_fract_x
_atom_site_fract_y
_atom_site_fract_z
La1 0.090 0.000 0.434
La2 0.235 0.000 0.833
Mg1 0.047 0.500 0.819
Mg2 0.092 0.000 0.164
Pb1 0.096 0.500 0.631
Pb2 0.128 0.000 0.972
Pb3 0.172 0.500 0.335
```


(8)
A geometry-optimized LaMgPb3 structure, computed with PBE.

Results
The calculation puts the excess energy over the best structure of this formula in the dataset at 0 meV per atom. Its density of states at the Fermi level is 6.07 states/eV/cell. The total energy is -3.723 eV/atom. The value obtained for the formation energy is -0.97 eV per formula unit.

```
data_LaMgPb3
_cell_length_a 5.191
_cell_length_b 7.457
_cell_length_c 7.863
_cell_angle_alpha 90.00
_cell_angle_beta 90.00
_cell_angle_gamma 90.00
_space_group_name_H-M_alt 'P m m n'
_space_group_IT_number 59
loop_
_space_group_symop_operation_xyz
'x,y,z'
'-x,-y,-z'
'-x+1/2,-y+1/2,z'
'x+1/2,y+1/2,-z'
'x+1/2,-y,-z'
'-x+1/2,y,z'
'-x,y+1/2,-z'
'x,-y+1/2,z'
loop_
_atom_site_label
_atom_site_fract_x
_atom_site_fract_y
_atom_site_fract_z
La1 0.250 0.250 0.230
Mg1 0.250 0.750 0.428
Pb1 0.250 0.039 0.701
Pb2 0.250 0.750 0.058
```


(9)
A geometry-optimized LaMgPb2 structure, computed with PBE.

Results
Its density of states at the Fermi level is 3.44 states/eV/cell. The total energy is -3.771 eV/atom. The value obtained for the formation energy is -1.15 eV per formula unit.

```
data_LaMgPb2
_cell_length_a 3.585
_cell_length_b 4.903
_cell_length_c 6.904
_cell_angle_alpha 90.00
_cell_angle_beta 90.94
_cell_angle_gamma 90.00
_space_group_name_H-M_alt 'P 1 2/m 1'
_space_group_IT_number 10
_space_group_name_Hall '-P 2y'
loop_
_atom_site_label
_atom_site_fract_x
_atom_site_fract_y
_atom_site_fract_z
La1 0.000 0.000 0.000
Mg1 0.500 0.000 0.500
Pb1 0.481 0.500 0.753
```


(10)
A geometry-optimized LaMg2Pb structure, computed with PBE.

Results
Its density of states at the Fermi level is 13.17 states/eV/cell. The total energy is -2.997 eV/atom. The value obtained for the formation energy is -0.16 eV per formula unit.

```
data_LaMg2Pb
_cell_length_a 3.4579
_cell_length_b 3.4579
_cell_length_c 33.1396
_cell_angle_alpha 90.00
_cell_angle_beta 90.00
_cell_angle_gamma 120.00
_space_group_name_H-M_alt 'R 3 m'
_space_group_IT_number 160
_space_group_name_Hall 'R 3 -2"'
loop_
_atom_site_label
_atom_site_fract_x
_atom_site_fract_y
_atom_site_fract_z
La1 0.0000 0.0000 0.0000
Mg1 0.0000 0.0000 0.4996
Mg2 0.0000 0.0000 0.7560
Pb1 0.0000 0.0000 0.2441
```


(11)
A geometry-optimized LaMg12Pb6 structure, computed with PBE.

Results
Its density of states at the Fermi level is 22.57 states/eV/cell. The total energy is -2.427 eV/atom. The value obtained for the formation energy is 0.21 eV per formula unit.

```
data_LaMg12Pb6
_cell_length_a 13.7343
_cell_length_b 13.7343
_cell_length_c 9.6165
_cell_angle_alpha 90.00
_cell_angle_beta 90.00
_cell_angle_gamma 120.00
_space_group_name_H-M_alt 'R -3 m'
_space_group_IT_number 166
_space_group_name_Hall '-R 3 2"'
loop_
_atom_site_label
_atom_site_fract_x
_atom_site_fract_y
_atom_site_fract_z
La1 0.0000 0.0000 0.0000
Mg1 0.0000 0.3924 0.5000
Mg2 0.0770 0.1540 0.3314
Pb1 0.0105 0.5053 0.2313
```


(12)
A geometry-optimized LaMg2Pb structure, computed with PBE.

Results
Its density of states at the Fermi level is 6.14 states/eV/cell. The total energy is -3.081 eV/atom. The value obtained for the formation energy is -0.50 eV per formula unit.

```
data_LaMg2Pb
_cell_length_a 3.790
_cell_length_b 5.326
_cell_length_c 11.109
_cell_angle_alpha 90.00
_cell_angle_beta 90.00
_cell_angle_gamma 90.00
_space_group_name_H-M_alt 'I m m 2'
_space_group_IT_number 44
_space_group_name_Hall 'I 2 -2'
loop_
_atom_site_label
_atom_site_fract_x
_atom_site_fract_y
_atom_site_fract_z
La1 0.000 0.000 0.000
Mg1 0.000 0.000 0.504
Mg2 0.000 0.500 0.776
Pb1 0.000 0.500 0.230
```